Record 1
HfInAs2: optimized geometry, PBE.

Calculated values
**Distance to the lowest polymorph of the same formula**: 0 meV/atom
**ΔE_f**: -403.1 meV/atom

abc: 3.8427 3.8427 22.0015
angles: 90.00 90.00 120.00
Space group R3m (No. 160, hexagonal axes)
Unique sites:
Hf: 0.0000 0.0000 0.0000 x3
In: 0.0000 0.0000 0.8334 x3
As: 0.0000 0.0000 0.4062 x3
As: 0.0000 0.0000 0.5956 x3

Record 2
HfInAs: optimized geometry, PBE.

Calculated values
**ΔE_f**: -380.7 meV/atom

abc: 3.959 3.959 8.185
angles: 90.00 90.00 90.00
Space group P4/nmm (No. 129, origin choice 2)
Unique sites:
Hf: 0.250 0.250 0.188 x2
In: 0.250 0.750 0.500 x2
As: 0.250 0.250 0.853 x2

Record 3
HfIn3As: optimized geometry, PBE.

Calculated values
**Distance to the lowest polymorph of the same formula**: 94 meV/atom
**ΔE_f**: 890.2 meV/atom

abc: 5.568 5.568 5.568
angles: 90.00 90.00 90.00
Space group Pm-3m (No. 221)
Unique sites:
Hf: 0.000 0.000 0.000 x1
In: 0.000 0.000 0.500 x3
As: 0.500 0.500 0.500 x1

Record 4
Hf2InAs: optimized geometry, PBE.

Calculated values
**Distance to the lowest polymorph of the same formula**: 0 meV/atom
**ΔE_f**: -486.9 meV/atom

abc: 3.5962 3.5962 23.4960
angles: 90.00 90.00 120.00
Space group R3m (No. 160, hexagonal axes)
Unique sites:
Hf: 0.0000 0.0000 0.0000 x3
Hf: 0.0000 0.0000 0.1968 x3
In: 0.0000 0.0000 0.4311 x3
As: 0.0000 0.0000 0.5988 x3

Record 5
HfInAs2: optimized geometry, PBE.

Calculated values
**Distance to the lowest polymorph of the same formula**: 193 meV/atom
**ΔE_f**: -210.6 meV/atom

abc: 6.265 6.265 12.092
angles: 90.00 90.00 90.00
Space group I-42d (No. 122)
Unique sites:
Hf: 0.000 0.000 0.000 x4
In: 0.000 0.000 0.500 x4
As: 0.228 0.250 0.125 x8

Record 6
La2HfInAs: optimized geometry, PBE.

Calculated values
**ΔE_f**: 522.5 meV/atom

abc: 5.899 5.899 5.269
angles: 90.00 90.00 90.00
Space group P4/mmm (No. 123)
Unique sites:
La: 0.000 0.500 0.000 x2
Hf: 0.000 0.000 0.500 x1
In: 0.000 0.000 0.000 x1
As: 0.500 0.500 0.500 x1

Record 7
Hf2InAsPt: optimized geometry, PBE.

Calculated values
**ΔE_f**: 1330.2 meV/atom

abc: 5.248 5.248 4.809
angles: 90.00 90.00 90.00
Space group P4/mmm (No. 123)
Unique sites:
Hf: 0.000 0.500 0.000 x2
In: 0.000 0.000 0.000 x1
As: 0.000 0.000 0.500 x1
Pt: 0.500 0.500 0.500 x1

Record 8
Hf2InAsS: optimized geometry, PBE.

Calculated values
**ΔE_f (raw)**: 1.4 kJ/mol of atoms

abc: 4.808 4.808 4.841
angles: 90.00 90.00 90.00
Space group P4/mmm (No. 123)
Unique sites:
Hf: 0.000 0.500 0.000 x2
In: 0.000 0.000 0.500 x1
As: 0.500 0.500 0.500 x1
S: 0.500 0.500 0.000 x1

Record 9
HfInAsSe2: optimized geometry, PBE.

Calculated values
**ΔE_f (raw)**: -11.3 kJ/mol of atoms
**Distance to the lowest polymorph of the same formula**: 0 meV/atom

abc: 5.402 5.402 6.247
angles: 90.00 90.00 90.00
Space group P4/mmm (No. 123)
Unique sites:
Hf: 0.000 0.000 0.000 x1
In: 0.500 0.500 0.500 x1
As: 0.000 0.000 0.500 x1
Se: 0.000 0.500 0.000 x2

Record 10
HfInAsSe2: optimized geometry, PBE.

Calculated values
**ΔE_f (raw)**: 78.8 kJ/mol of atoms
**Distance to the lowest polymorph of the same formula**: 934 meV/atom

abc: 5.455 5.455 5.492
angles: 90.00 90.00 90.00
Space group P4/mmm (No. 123)
Unique sites:
Hf: 0.000 0.000 0.000 x1
In: 0.500 0.500 0.500 x1
As: 0.500 0.500 0.000 x1
Se: 0.000 0.500 0.500 x2

Record 11
SrHfInAs2: optimized geometry, PBE.

Calculated values
**ΔE_f**: 926.8 meV/atom

abc: 5.272 5.272 5.684
angles: 90.00 90.00 90.00
Space group P4/mmm (No. 123)
Unique sites:
Sr: 0.000 0.000 0.000 x1
Hf: 0.500 0.500 0.000 x1
In: 0.000 0.000 0.500 x1
As: 0.000 0.500 0.500 x2

Record 12
Hf2VInAs: optimized geometry, PBE.

Calculated values
**ΔE_f**: 655.9 meV/atom

abc: 4.812 4.812 5.079
angles: 90.00 90.00 90.00
Space group P4/mmm (No. 123)
Unique sites:
Hf: 0.000 0.500 0.000 x2
V: 0.000 0.000 0.000 x1
In: 0.000 0.000 0.500 x1
As: 0.500 0.500 0.500 x1

Record 13
Hf2AsIr: optimized geometry, PBE.

Calculated values
**ΔE_f**: -423.0 meV/atom

abc: 7.224 7.224 6.070
angles: 90.00 90.00 90.00
Space group I-42d (No. 122)
Unique sites:
Hf: 0.242 0.250 0.125 x8
As: 0.000 0.000 0.500 x4
Ir: 0.000 0.000 0.000 x4

Record 14
Hf2AsIr: optimized geometry, PBE.

Calculated values
**ΔE_f**: 53.8 meV/atom

abc: 3.0199 3.0199 28.9955
angles: 90.00 90.00 120.00
Space group R-3m (No. 166, hexagonal axes)
Unique sites:
Hf: 0.0000 0.0000 0.0874 x6
As: 0.0000 0.0000 0.5000 x3
Ir: 0.0000 0.0000 0.0000 x3

Record 15
Hf2AsIr2: optimized geometry, PBE.

Calculated values
**ΔE_f**: -689.6 meV/atom

abc: 7.680 7.680 3.125
angles: 90.00 90.00 90.00
Space group P4/mbm (No. 127)
Unique sites:
Hf: 0.161 0.339 0.000 x4
As: 0.000 0.000 0.500 x2
Ir: 0.133 0.633 0.500 x4

Record 16
HfAsIr2: optimized geometry, PBE.

Calculated values
**ΔE_f**: -47.6 meV/atom

abc: 5.556 5.556 12.056
angles: 90.00 90.00 90.00
Space group I-42d (No. 122)
Unique sites:
Hf: 0.000 0.000 0.000 x4
As: 0.000 0.000 0.500 x4
Ir: 0.214 0.250 0.625 x8

Record 17
HfAs3Ir: optimized geometry, PBE.

Calculated values
**Distance to the lowest polymorph of the same formula**: 0 meV/atom
**ΔE_f**: 610.3 meV/atom

abc: 4.808 4.808 4.808
angles: 90.00 90.00 90.00
Space group Pm-3m (No. 221)
Unique sites:
Hf: 0.000 0.000 0.000 x1
As: 0.000 0.500 0.500 x3
Ir: 0.500 0.500 0.500 x1

Record 18
HfAs3Ir: optimized geometry, PBE.

Calculated values
**Distance to the lowest polymorph of the same formula**: 437 meV/atom
**ΔE_f**: 1046.9 meV/atom

abc: 5.022 5.022 5.022
angles: 90.00 90.00 90.00
Space group Pm-3m (No. 221)
Unique sites:
Hf: 0.000 0.000 0.000 x1
As: 0.000 0.000 0.500 x3
Ir: 0.500 0.500 0.500 x1

Record 19
Hf2As2Ir: optimized geometry, PBE.

Calculated values
**ΔE_f**: -571.7 meV/atom

abc: 6.942 6.942 3.675
angles: 90.00 90.00 90.00
Space group P4/mbm (No. 127)
Unique sites:
Hf: 0.158 0.342 0.000 x4
As: 0.148 0.648 0.500 x4
Ir: 0.000 0.000 0.500 x2

Record 20
K2HfAsIr: optimized geometry, PBE.

Calculated values
**ΔE_f**: 999.0 meV/atom

abc: 6.308 6.308 4.554
angles: 90.00 90.00 90.00
Space group P4/mmm (No. 123)
Unique sites:
K: 0.000 0.500 0.000 x2
Hf: 0.000 0.000 0.500 x1
As: 0.500 0.500 0.500 x1
Ir: 0.500 0.500 0.000 x1